No. 1
The following is a DFT calculation (PBE) of crystalline CdFeSi2 at its relaxed geometry.

CIF file:
```
data_CdFeSi2
_chemical_formula_sum 'Cd1 Fe1 Si2'
_cell_length_a 2.721
_cell_length_b 4.583
_cell_length_c 5.105
_cell_angle_alpha 90.00
_cell_angle_beta 90.00
_cell_angle_gamma 90.00
_symmetry_space_group_name_H-M 'P m m m'
_symmetry_Int_Tables_number 47
loop_
_symmetry_equiv_pos_as_xyz
'x,y,z'
'-x,-y,-z'
'-x,-y,z'
'x,y,-z'
'x,-y,-z'
'-x,y,z'
'-x,y,-z'
'x,-y,z'
loop_
_atom_site_label
_atom_site_type_symbol
_atom_site_fract_x
_atom_site_fract_y
_atom_site_fract_z
Cd1 Cd 0.000 0.000 0.000
Fe1 Fe 0.500 0.000 0.500
Si1 Si 0.000 0.500 0.500
Si2 Si 0.500 0.500 0.000
```

Computed properties:
Formation energy (no corrections) = 50.5 kJ/mol of atoms



No. 2
The following is a DFT calculation (PBE) of crystalline HfTa3W2 at its relaxed geometry.

CIF file:
```
data_HfTa3W2
_chemical_formula_sum 'Hf2 Ta6 W4'
_cell_length_a 4.5224
_cell_length_b 4.5224
_cell_length_c 12.9016
_cell_angle_alpha 90.00
_cell_angle_beta 90.00
_cell_angle_gamma 120.00
_symmetry_space_group_name_H-M 'P 63/m m c'
_symmetry_Int_Tables_number 194
_symmetry_space_group_name_Hall '-P 6c 2c'
loop_
_atom_site_label
_atom_site_type_symbol
_atom_site_fract_x
_atom_site_fract_y
_atom_site_fract_z
Hf1 Hf 0.0000 0.0000 0.2500
Ta1 Ta 0.0000 0.0000 0.0000
Ta2 Ta 0.3333 0.6667 0.1371
W1 W 0.3333 0.6667 0.5779
```

Computed properties:
Total energy = -139.38 eV/cell



No. 3
The following is a DFT calculation (PBE) of crystalline HfScZnCo at its relaxed geometry.

CIF file:
```
data_HfScZnCo
_chemical_formula_sum 'Hf1 Sc1 Zn1 Co1'
_cell_length_a 3.213
_cell_length_b 3.213
_cell_length_c 6.587
_cell_angle_alpha 90.00
_cell_angle_beta 90.00
_cell_angle_gamma 90.00
_symmetry_space_group_name_H-M 'P 4 m m'
_symmetry_Int_Tables_number 99
loop_
_symmetry_equiv_pos_as_xyz
'x,y,z'
'-y,x,z'
'-x,-y,z'
'y,-x,z'
'-x,y,z'
'y,x,z'
'x,-y,z'
'-y,-x,z'
loop_
_atom_site_label
_atom_site_type_symbol
_atom_site_fract_x
_atom_site_fract_y
_atom_site_fract_z
Hf1 Hf 0.000 0.000 0.000
Sc1 Sc 0.000 0.000 0.467
Zn1 Zn 0.500 0.500 0.734
Co1 Co 0.500 0.500 0.211
```

Computed properties:
Polymorph energy (0 for the lowest one) = 0.0 meV/atom



No. 4
The following is a DFT calculation (PBE) of crystalline PaGa4Co at its relaxed geometry.

CIF file:
```
data_PaGa4Co
_chemical_formula_sum 'Pa2 Ga8 Co2'
_cell_length_a 7.467
_cell_length_b 4.038
_cell_length_c 6.775
_cell_angle_alpha 90.00
_cell_angle_beta 90.00
_cell_angle_gamma 90.00
_symmetry_space_group_name_H-M 'P m m a'
_symmetry_Int_Tables_number 51
loop_
_symmetry_equiv_pos_as_xyz
'x,y,z'
'-x,-y,-z'
'-x+1/2,-y,z'
'x+1/2,y,-z'
'x+1/2,-y,-z'
'-x+1/2,y,z'
'-x,y,-z'
'x,-y,z'
loop_
_atom_site_label
_atom_site_type_symbol
_atom_site_fract_x
_atom_site_fract_y
_atom_site_fract_z
Pa1 Pa 0.250 0.000 0.137
Ga1 Ga 0.000 0.000 0.500
Ga2 Ga 0.068 0.500 0.825
Ga3 Ga 0.250 0.500 0.463
Co1 Co 0.250 0.000 0.731
```

Computed properties:
Polymorph energy (0 for the lowest one) = 57.9 meV/atom



No. 5
The following is a DFT calculation (PBE) of crystalline La2Pm3Sm4 at its relaxed geometry.

CIF file:
```
data_La2Pm3Sm4
_chemical_formula_sum 'La2 Pm3 Sm4'
_cell_length_a 6.343
_cell_length_b 6.347
_cell_length_c 9.693
_cell_angle_alpha 90.01
_cell_angle_beta 108.96
_cell_angle_gamma 119.97
_symmetry_space_group_name_H-M 'P -1'
_symmetry_Int_Tables_number 2
loop_
_symmetry_equiv_pos_as_xyz
'x,y,z'
'-x,-y,-z'
loop_
_atom_site_label
_atom_site_type_symbol
_atom_site_fract_x
_atom_site_fract_y
_atom_site_fract_z
La1 La 0.221 0.278 0.332
Pm1 Pm 0.000 0.500 0.000
Pm2 Pm 0.445 0.055 0.668
Sm1 Sm 0.112 0.390 0.668
Sm2 Sm 0.335 0.167 0.000
```

Computed properties:
Total energy = -42.82 eV/cell



No. 6
The following is a DFT calculation (PBE) of crystalline Mg4Pd at its relaxed geometry.

CIF file:
```
data_Mg4Pd
_chemical_formula_sum 'Mg4 Pd1'
_cell_length_a 5.008
_cell_length_b 5.008
_cell_length_c 5.008
_cell_angle_alpha 90.00
_cell_angle_beta 90.00
_cell_angle_gamma 90.00
_symmetry_space_group_name_H-M 'P m -3 m'
_symmetry_Int_Tables_number 221
_symmetry_space_group_name_Hall '-P 4 2 3'
loop_
_atom_site_label
_atom_site_type_symbol
_atom_site_fract_x
_atom_site_fract_y
_atom_site_fract_z
Mg1 Mg 0.000 0.000 0.000
Mg2 Mg 0.000 0.500 0.500
Pd1 Pd 0.500 0.500 0.500
```

Computed properties:
Total energy = -12.06 eV/cell



No. 7
The following is a DFT calculation (PBE) of crystalline CdBi3Pb6 at its relaxed geometry.

CIF file:
```
data_CdBi3Pb6
_chemical_formula_sum 'Cd2 Bi6 Pb12'
_cell_length_a 6.687
_cell_length_b 10.241
_cell_length_c 11.521
_cell_angle_alpha 90.00
_cell_angle_beta 123.38
_cell_angle_gamma 90.00
_symmetry_space_group_name_H-M 'P 1 21/c 1'
_symmetry_Int_Tables_number 14
loop_
_symmetry_equiv_pos_as_xyz
'x,y,z'
'-x,-y,-z'
'-x,y+1/2,-z+1/2'
'x,-y+1/2,z+1/2'
loop_
_atom_site_label
_atom_site_type_symbol
_atom_site_fract_x
_atom_site_fract_y
_atom_site_fract_z
Cd1 Cd 0.000 0.000 0.000
Bi1 Bi 0.090 0.105 0.749
Bi2 Bi 0.500 0.000 0.500
Pb1 Pb 0.014 0.173 0.435
Pb2 Pb 0.350 0.673 0.458
Pb3 Pb 0.420 0.157 0.235
```

Computed properties:
Polymorph energy (0 for the lowest one) = 42.3 meV/atom



No. 8
The following is a DFT calculation (PBE) of crystalline RbHfMo3 at its relaxed geometry.

CIF file:
```
data_RbHfMo3
_chemical_formula_sum 'Rb1 Hf1 Mo3'
_cell_length_a 5.039
_cell_length_b 5.039
_cell_length_c 5.039
_cell_angle_alpha 90.00
_cell_angle_beta 90.00
_cell_angle_gamma 90.00
_symmetry_space_group_name_H-M 'P m -3 m'
_symmetry_Int_Tables_number 221
_symmetry_space_group_name_Hall '-P 4 2 3'
loop_
_atom_site_label
_atom_site_type_symbol
_atom_site_fract_x
_atom_site_fract_y
_atom_site_fract_z
Rb1 Rb 0.000 0.000 0.000
Hf1 Hf 0.500 0.500 0.500
Mo1 Mo 0.000 0.500 0.500
```

Computed properties:
Polymorph energy (0 for the lowest one) = 0.0 meV/atom



No. 9
The following is a DFT calculation (PBE) of crystalline Mn2ReNi at its relaxed geometry.

CIF file:
```
data_Mn2ReNi
_chemical_formula_sum 'Mn4 Re2 Ni2'
_cell_length_a 8.497
_cell_length_b 2.602
_cell_length_c 4.453
_cell_angle_alpha 90.00
_cell_angle_beta 100.23
_cell_angle_gamma 90.00
_symmetry_space_group_name_H-M 'C 1 m 1'
_symmetry_Int_Tables_number 8
loop_
_symmetry_equiv_pos_as_xyz
'x,y,z'
'x,-y,z'
'x+1/2,y+1/2,z'
'x+1/2,-y+1/2,z'
loop_
_atom_site_label
_atom_site_type_symbol
_atom_site_fract_x
_atom_site_fract_y
_atom_site_fract_z
Mn1 Mn 0.000 0.000 0.000
Mn2 Mn 0.241 0.500 0.235
Re1 Re 0.242 0.000 0.736
Ni1 Ni 0.491 0.000 0.481
```

Computed properties:
Total energy = -72.29 eV/cell



No. 10
The following is a DFT calculation (PBE) of crystalline Co3TcP at its relaxed geometry.

CIF file:
```
data_Co3TcP
_chemical_formula_sum 'Co3 Tc1 P1'
_cell_length_a 4.116
_cell_length_b 4.116
_cell_length_c 4.116
_cell_angle_alpha 90.00
_cell_angle_beta 90.00
_cell_angle_gamma 90.00
_symmetry_space_group_name_H-M 'P m -3 m'
_symmetry_Int_Tables_number 221
_symmetry_space_group_name_Hall '-P 4 2 3'
loop_
_atom_site_label
_atom_site_type_symbol
_atom_site_fract_x
_atom_site_fract_y
_atom_site_fract_z
Co1 Co 0.000 0.000 0.500
Tc1 Tc 0.500 0.500 0.500
P1 P 0.000 0.000 0.000
```

Computed properties:
Polymorph energy (0 for the lowest one) = 0.0 meV/atom



No. 11
The following is a DFT calculation (PBE) of crystalline RbSr2Li2 at its relaxed geometry.

CIF file:
```
data_RbSr2Li2
_chemical_formula_sum 'Rb2 Sr4 Li4'
_cell_length_a 10.001
_cell_length_b 10.001
_cell_length_c 4.558
_cell_angle_alpha 90.00
_cell_angle_beta 90.00
_cell_angle_gamma 90.00
_symmetry_space_group_name_H-M 'P 4/m b m'
_symmetry_Int_Tables_number 127
_symmetry_space_group_name_Hall '-P 4 2ab'
loop_
_atom_site_label
_atom_site_type_symbol
_atom_site_fract_x
_atom_site_fract_y
_atom_site_fract_z
Rb1 Rb 0.000 0.000 0.000
Sr1 Sr 0.159 0.341 0.500
Li1 Li 0.122 0.622 0.000
```

Computed properties:
Polymorph energy (0 for the lowest one) = 0.0 meV/atom



No. 12
The following is a DFT calculation (PBE) of crystalline YAgIr2 at its relaxed geometry.

CIF file:
```
data_YAgIr2
_chemical_formula_sum 'Y4 Ag4 Ir8'
_cell_length_a 4.139
_cell_length_b 4.139
_cell_length_c 19.097
_cell_angle_alpha 90.00
_cell_angle_beta 90.00
_cell_angle_gamma 90.00
_symmetry_space_group_name_H-M 'I -4 2 d'
_symmetry_Int_Tables_number 122
_symmetry_space_group_name_Hall 'I -4 2bw'
loop_
_atom_site_label
_atom_site_type_symbol
_atom_site_fract_x
_atom_site_fract_y
_atom_site_fract_z
Y1 Y 0.000 0.000 0.000
Ag1 Ag 0.000 0.000 0.500
Ir1 Ir 0.172 0.250 0.625
```

Computed properties:
Polymorph energy (0 for the lowest one) = 368.7 meV/atom



No. 13
The following is a DFT calculation (PBE) of crystalline Cs2TcPb2O6 at its relaxed geometry.

CIF file:
```
data_Cs2TcPb2O6
_chemical_formula_sum 'Cs4 Tc2 Pb4 O12'
_cell_length_a 6.260
_cell_length_b 10.376
_cell_length_c 7.128
_cell_angle_alpha 90.00
_cell_angle_beta 105.99
_cell_angle_gamma 90.00
_symmetry_space_group_name_H-M 'C 1 2/m 1'
_symmetry_Int_Tables_number 12
loop_
_symmetry_equiv_pos_as_xyz
'x,y,z'
'-x,-y,-z'
'-x,y,-z'
'x,-y,z'
'x+1/2,y+1/2,z'
'-x+1/2,-y+1/2,-z'
'-x+1/2,y+1/2,-z'
'x+1/2,-y+1/2,z'
loop_
_atom_site_label
_atom_site_type_symbol
_atom_site_fract_x
_atom_site_fract_y
_atom_site_fract_z
Cs1 Cs 0.000 0.171 0.000
Tc1 Tc 0.000 0.000 0.500
Pb1 Pb 0.000 0.335 0.500
O1 O 0.186 0.139 0.658
O2 O 0.204 0.000 0.334
```

Computed properties:
Formation energy (no corrections) = -125.1 kJ/mol of atoms



No. 14
The following is a DFT calculation (PBE) of crystalline FeW2Br at its relaxed geometry.

CIF file:
```
data_FeW2Br
_chemical_formula_sum 'Fe2 W4 Br2'
_cell_length_a 5.295
_cell_length_b 8.369
_cell_length_c 2.865
_cell_angle_alpha 90.00
_cell_angle_beta 90.00
_cell_angle_gamma 90.00
_symmetry_space_group_name_H-M 'C m m m'
_symmetry_Int_Tables_number 65
_symmetry_space_group_name_Hall '-C 2 2'
loop_
_atom_site_label
_atom_site_type_symbol
_atom_site_fract_x
_atom_site_fract_y
_atom_site_fract_z
Fe1 Fe 0.000 0.000 0.000
W1 W 0.250 0.250 0.500
Br1 Br 0.000 0.500 0.000
```

Computed properties:
Polymorph energy (0 for the lowest one) = 634.1 meV/atom
Formation energy (no corrections) = 115.5 kJ/mol of atoms



No. 15
The following is a DFT calculation (PBE) of crystalline CrCdCu2 at its relaxed geometry.

CIF file:
```
data_CrCdCu2
_chemical_formula_sum 'Cr1 Cd1 Cu2'
_cell_length_a 3.122
_cell_length_b 3.096
_cell_length_c 6.192
_cell_angle_alpha 90.00
_cell_angle_beta 90.09
_cell_angle_gamma 90.00
_symmetry_space_group_name_H-M 'P 1 2/m 1'
_symmetry_Int_Tables_number 10
loop_
_symmetry_equiv_pos_as_xyz
'x,y,z'
'-x,-y,-z'
'-x,y,-z'
'x,-y,z'
loop_
_atom_site_label
_atom_site_type_symbol
_atom_site_fract_x
_atom_site_fract_y
_atom_site_fract_z
Cr1 Cr 0.000 0.000 0.000
Cd1 Cd 0.000 0.000 0.500
Cu1 Cu 0.500 0.500 0.223
```

Computed properties:
Total energy = -17.71 eV/cell



No. 16
The following is a DFT calculation (PBE) of crystalline Li2NdAl at its relaxed geometry.

CIF file:
```
data_Li2NdAl
_chemical_formula_sum 'Li8 Nd4 Al4'
_cell_length_a 6.863
_cell_length_b 6.863
_cell_length_c 6.863
_cell_angle_alpha 90.00
_cell_angle_beta 90.00
_cell_angle_gamma 90.00
_symmetry_space_group_name_H-M 'F m -3 m'
_symmetry_Int_Tables_number 225
_symmetry_space_group_name_Hall '-F 4 2 3'
loop_
_atom_site_label
_atom_site_type_symbol
_atom_site_fract_x
_atom_site_fract_y
_atom_site_fract_z
Li1 Li 0.250 0.250 0.250
Nd1 Nd 0.000 0.000 0.000
Al1 Al 0.000 0.000 0.500
```

Computed properties:
Total energy = -52.30 eV/cell



No. 17
The following is a DFT calculation (PBE) of crystalline Li2CrW at its relaxed geometry.

CIF file:
```
data_Li2CrW
_chemical_formula_sum 'Li2 Cr1 W1'
_cell_length_a 2.544
_cell_length_b 4.854
_cell_length_c 4.694
_cell_angle_alpha 90.00
_cell_angle_beta 99.20
_cell_angle_gamma 90.00
_symmetry_space_group_name_H-M 'P 1 2/m 1'
_symmetry_Int_Tables_number 10
loop_
_symmetry_equiv_pos_as_xyz
'x,y,z'
'-x,-y,-z'
'-x,y,-z'
'x,-y,z'
loop_
_atom_site_label
_atom_site_type_symbol
_atom_site_fract_x
_atom_site_fract_y
_atom_site_fract_z
Li1 Li 0.217 0.000 0.252
Cr1 Cr 0.000 0.500 0.500
W1 W 0.500 0.500 0.000
```

Computed properties:
Polymorph energy (0 for the lowest one) = 175.7 meV/atom



No. 18
The following is a DFT calculation (PBE) of crystalline Tb4Al2Zn at its relaxed geometry.

CIF file:
```
data_Tb4Al2Zn
_chemical_formula_sum 'Tb12 Al6 Zn3'
_cell_length_a 5.0879
_cell_length_b 5.0879
_cell_length_c 24.7389
_cell_angle_alpha 90.00
_cell_angle_beta 90.00
_cell_angle_gamma 120.00
_symmetry_space_group_name_H-M 'R -3 m'
_symmetry_Int_Tables_number 166
_symmetry_space_group_name_Hall '-R 3 2"'
loop_
_atom_site_label
_atom_site_type_symbol
_atom_site_fract_x
_atom_site_fract_y
_atom_site_fract_z
Tb1 Tb 0.0000 0.0000 0.1217
Tb2 Tb 0.0000 0.0000 0.3730
Al1 Al 0.0000 0.0000 0.2482
Zn1 Zn 0.0000 0.0000 0.5000
```

Computed properties:
Total energy = -86.87 eV/cell



no.,Fermi-level density of states (states/eV per cell),V (Å³/cell),size of the total moment (μB per cell)
1,2.450,63.66,2.48
2,14.896,228.52,0.00
3,3.248,68.00,0.00
4,9.870,204.30,0.00
5,14.952,313.38,0.00
6,2.133,125.62,0.00
7,10.043,658.86,0.00
8,9.803,127.98,2.32
9,9.491,96.90,4.19
10,4.197,69.72,6.88
11,9.779,455.84,0.00
12,13.227,327.16,0.00
13,5.536,445.09,2.01
14,8.457,126.97,4.08
15,2.301,59.86,3.43
16,10.256,323.22,0.00
17,3.209,57.23,0.91
18,20.141,554.61,0.00